LaTlMo2 PBE-GGA optimized geometry; distance to the lowest polymorph of the same formula = 1000 meV/atom; ΔH_f (0 K) = 1196.6 meV per atom
1.0
-4.010 4.010 2.938
4.010 -4.010 2.938
4.010 4.010 -2.938
La Tl Mo
2 2 4
Cartesian
0.000 0.000 0.000
0.000 4.010 1.469
4.010 0.000 1.469
0.000 0.000 2.938
2.005 -1.787 2.204
2.222 2.005 0.735
2.005 5.797 -0.735
1.787 2.005 3.673